4
Lattice="-2.536 0.887 -3.026 -1.723 -2.975 -2.134 -7.530 -0.808 3.368" Properties=species:S:1:pos:R:3 comment="Pr2HgS | Alexandria | PBE-GGA | relaxed" volume_a3_per_atom=28.193 de_polymorph_mev_per_atom=49 raw_formation_energy_ev_per_atom=-1.157 total_energy_ev_per_cell=-18.617 m_tot_mub_per_cell=0.0 pbc="T T T"
Pr -6.262 -0.784 2.312
Pr -2.708 -0.720 -0.648
Hg -5.901 -1.448 -0.891
S -10.343 -2.199 -0.094